The following is a PBE-GGA calculation of a relaxed MgFe2Os crystal, from the Alexandria database.

Cell: 6.801 6.801 5.464 Å, 51.52 51.52 90.00°
Fractional positions:
Mg: 0.500 0.500 0.000
Mg: 0.250 0.750 0.500
Os: 0.000 0.000 0.000
Os: 0.750 0.250 0.500
Fe: 0.672 0.125 0.250
Fe: 0.078 0.625 0.250
Fe: 0.375 0.328 0.750
Fe: 0.875 0.922 0.750

Calculated values
Calculated total energy (eV/atom): -6.6558
N(E_F) (states/eV per atom): 1.256
ΔE_f (eV per atom): 0.7816
Symmetry: No. 122